[1]
First-principles (PBE) data for a relaxed CaIr3S crystal, as listed in Alexandria via LeMat-Bulk.

abc: 4.8673 4.8673 4.8673
angles: 90.00 90.00 90.00
Last column: nearest neighbours and their distance in Å.
Space group Pm-3m (No. 221)
Inequivalent atoms, fractional coordinates:
Ca  0.0000  0.0000  0.0000  6 Ir 2.43
Ir  0.0000  0.0000  0.5000  2 Ca 2.43
S  0.5000  0.5000  0.5000  12 Ir 3.44

Summary:
Uncorrected formation energy = 2669 meV per atom
Energy relative to the lowest polymorph listed for this composition = 2.477 eV/atom
Magnetic moment = 3.612 μB/f.u.

---

[2]
First-principles (PBE) data for a relaxed ScInRh2 crystal, as listed in Alexandria via LeMat-Bulk.

abc: 3.2553 3.2553 6.3544
angles: 90.00 90.00 90.00
Last column: nearest neighbours and their distance in Å.
Space group P4/mmm (No. 123)
Inequivalent atoms, fractional coordinates:
Sc  0.0000  0.0000  0.0000  8 Rh 2.79
In  0.0000  0.0000  0.5000  8 Rh 2.81
Rh  0.5000  0.5000  0.2470  4 Sc 2.79, 4 In 2.81

Summary:
Energy relative to the elements = -0.773 eV per atom
Magnetic moment = 0.000 μB/f.u.

---

[3]
First-principles (PBE) data for a relaxed PmSi2Ni2 crystal, as listed in Alexandria via LeMat-Bulk.

abc: 5.4541 9.8511 12.0739
angles: 90.00 90.00 90.00
Last column: nearest neighbours and their distance in Å.
Space group Fddd (No. 70, origin choice 2)
Inequivalent atoms, fractional coordinates:
Pm  0.1250  0.1250  0.1250  8 Ni 3.02-3.30, 10 Si 3.03-3.36
Si  0.1250  0.3172  0.6250  4 Ni 2.27-2.30
Ni  0.1250  0.1250  0.5174  4 Si 2.27-2.30

Summary:
Uncorrected formation energy = -757 meV per atom
Energy relative to the lowest polymorph listed for this composition = 0.062 eV/atom
Magnetic moment = 0.000 μB/f.u.

---

[4]
First-principles (PBE) data for a relaxed Pr2Ga4Ni3Ru crystal, as listed in Alexandria via LeMat-Bulk.

abc: 4.2368 4.2368 9.8704
angles: 90.00 90.00 90.00
Last column: nearest neighbours and their distance in Å.
Space group P-4m2 (No. 115)
Inequivalent atoms, fractional coordinates:
Pr  0.0000  0.5000  0.2444  8 Ga 3.20-3.29, 6 Ni 3.21-3.26, 2 Ru 3.21
Ga  0.0000  0.0000  0.5000  4 Ni 2.45
Ga  0.0000  0.5000  0.8706  3 Ni 2.42-2.47, 2 Ru 2.47
Ga  0.5000  0.5000  0.5000  4 Ni 2.45
Ni  0.0000  0.0000  0.0000  4 Ga 2.47
Ni  0.0000  0.5000  0.6249  5 Ga 2.42-2.45
Ru  0.5000  0.5000  0.0000  4 Ga 2.47

Summary:
Energy relative to the elements = -0.533 eV per atom
Magnetic moment = 0.000 μB/f.u.

---

[5]
First-principles (PBE) data for a relaxed Y2AsPb crystal, as listed in Alexandria via LeMat-Bulk.

abc: 3.5581 3.7227 8.0151
angles: 90.00 98.17 90.00
Last column: nearest neighbours and their distance in Å.
Space group P2/m (No. 10)
Inequivalent atoms, fractional coordinates:
Y  0.0694  0.0000  0.2815  2 As 2.85
As  0.5000  0.5000  0.5000  4 Y 2.85
Pb  0.5000  0.5000  0.0000  8 Y 3.37-3.45, 4 Pb 3.56-3.72

Summary:
Energy relative to the lowest polymorph listed for this composition = 0.205 eV/atom
Energy relative to the elements = -0.811 eV per atom
Magnetic moment = 0.000 μB/f.u.

---

[6]
First-principles (PBE) data for a relaxed Hf6Ni5Rh crystal, as listed in Alexandria via LeMat-Bulk.

abc: 4.4847 6.4180 13.6233
angles: 90.00 90.00 90.00
Last column: nearest neighbours and their distance in Å.
Space group Immm (No. 71)
Inequivalent atoms, fractional coordinates:
Hf  0.0000  0.2459  0.0000  6 Ni 2.68-2.74, 2 Rh 2.77
Hf  0.0000  0.2523  0.3305  7 Ni 2.75-2.84, 1 Rh 2.82
Ni  0.0000  0.0000  0.1590  8 Hf 2.68-2.84
Ni  0.0000  0.5000  0.1613  8 Hf 2.74-2.80
Ni  0.0000  0.5000  0.5000  8 Hf 2.74-2.80
Rh  0.0000  0.0000  0.5000  8 Hf 2.77-2.82

Summary:
Energy relative to the elements = -0.500 eV per atom
Magnetic moment = 0.000 μB/f.u.

---

[7]
First-principles (PBE) data for a relaxed Fe3Co crystal, as listed in Alexandria via LeMat-Bulk.

abc: 2.8352 4.0304 8.0897
angles: 90.00 90.00 90.00
Last column: nearest neighbours and their distance in Å.
Space group Pmma (No. 51)
Inequivalent atoms, fractional coordinates:
Fe  0.2500  0.0000  0.1252  4 Co 2.46, 4 Fe 2.47
Fe  0.2500  0.0000  0.6251  8 Fe 2.46-2.47
Fe  0.2500  0.5000  0.3729  2 Co 2.46, 6 Fe 2.46-2.50
Co  0.2500  0.5000  0.8754  6 Fe 2.46, 2 Co 2.46

Summary:
Energy relative to the elements = -0.025 eV per atom
Magnetic moment = 9.316 μB/f.u.

---

[8]
First-principles (PBE) data for a relaxed CePm2CdN crystal, as listed in Alexandria via LeMat-Bulk.

abc: 5.0359 5.0359 4.8344
angles: 90.00 90.00 90.00
Last column: nearest neighbours and their distance in Å.
Space group P4/mmm (No. 123)
Inequivalent atoms, fractional coordinates:
Ce  0.0000  0.0000  0.0000  2 N 2.42
Pm  0.0000  0.5000  0.5000  2 N 2.52
Cd  0.5000  0.5000  0.0000  8 Pm 3.49, 4 Ce 3.56
N  0.0000  0.0000  0.5000  2 Ce 2.42, 4 Pm 2.52

Summary:
Uncorrected formation energy = -703 meV per atom
Magnetic moment = 0.525 μB/f.u.

---

[9]
First-principles (PBE) data for a relaxed HfTaN3 crystal, as listed in Alexandria via LeMat-Bulk.

abc: 4.0337 4.0337 4.0337
angles: 90.00 90.00 90.00
Last column: nearest neighbours and their distance in Å.
Space group Pm-3m (No. 221)
Inequivalent atoms, fractional coordinates:
Hf  0.0000  0.0000  0.0000  6 N 2.02
Ta  0.5000  0.5000  0.5000  12 N 2.85
N  0.0000  0.0000  0.5000  2 Hf 2.02

Summary:
Uncorrected formation energy = 558 meV per atom
Magnetic moment = 0.000 μB/f.u.

---

[10]
First-principles (PBE) data for a relaxed LiCu2As crystal, as listed in Alexandria via LeMat-Bulk.

abc: 2.8526 3.7249 5.1484
angles: 90.00 90.00 90.00
Last column: nearest neighbours and their distance in Å.
Space group Pmm2 (No. 25)
Inequivalent atoms, fractional coordinates:
Li  0.0000  0.0000  0.0000  6 Cu 2.54-2.69, 4 As 2.68
Cu  0.0000  0.0000  0.5072  2 Li 2.54-2.61, 4 Cu 2.64, 4 As 2.69
Cu  0.5000  0.5000  0.7438  2 As 2.53-2.62, 4 Cu 2.64, 4 Li 2.69
As  0.5000  0.5000  0.2518  6 Cu 2.53-2.69, 4 Li 2.68

Summary:
Energy relative to the elements = -0.097 eV per atom
Magnetic moment = 0.000 μB/f.u.

---

[11]
First-principles (PBE) data for a relaxed Tl3In3GeBr8 crystal, as listed in Alexandria via LeMat-Bulk.

abc: 9.4037 9.4037 23.1312
angles: 90.00 90.00 120.00
Last column: nearest neighbours and their distance in Å.
Space group R-3m (No. 166, hexagonal axes)
Inequivalent atoms, fractional coordinates:
Tl  0.0000  0.5000  0.0000  6 Br 3.34-3.37
In  0.0000  0.5000  0.5000  6 Br 3.32-3.35
Ge  0.0000  0.0000  0.5000  6 Br 2.88
Br  0.0000  0.0000  0.2489  3 In 3.32, 3 Tl 3.34
Br  0.0437  0.5218  0.2384  1 Ge 2.88

Summary:
Uncorrected formation energy = -712 meV per atom
Magnetic moment = 0.000 μB/f.u.

---

[12]
First-principles (PBE) data for a relaxed Pr4GaAsI2 crystal, as listed in Alexandria via LeMat-Bulk.

abc: 7.5610 4.4023 8.1543
angles: 90.00 108.30 90.00
Last column: nearest neighbours and their distance in Å.
Space group P2/m (No. 10)
Inequivalent atoms, fractional coordinates:
Pr  0.2322  0.0000  0.2030  2 Ga 2.97, 1 As 2.99
Pr  0.2656  0.5000  0.8003  1 Ga 2.96, 2 As 2.97
Ga  0.0000  0.5000  0.0000  6 Pr 2.96-2.97
As  0.5000  0.0000  0.0000  6 Pr 2.97-2.99
I  0.0000  0.0000  0.5000  6 Pr 3.41-3.43
I  0.5000  0.5000  0.5000  6 Pr 3.42-3.44

Summary:
Uncorrected formation energy = -1056 meV per atom
Magnetic moment = 0.000 μB/f.u.

---

magnetic moment of number 5 (Y2AsPb)? 0.000 μB/f.u.

---

What did the sixth record say?
First-principles (PBE) data for a relaxed Hf6Ni5Rh crystal, as listed in Alexandria via LeMat-Bulk.

abc: 4.4847 6.4180 13.6233
angles: 90.00 90.00 90.00
Last column: nearest neighbours and their distance in Å.
Space group Immm (No. 71)
Inequivalent atoms, fractional coordinates:
Hf  0.0000  0.2459  0.0000  6 Ni 2.68-2.74, 2 Rh 2.77
Hf  0.0000  0.2523  0.3305  7 Ni 2.75-2.84, 1 Rh 2.82
Ni  0.0000  0.0000  0.1590  8 Hf 2.68-2.84
Ni  0.0000  0.5000  0.1613  8 Hf 2.74-2.80
Ni  0.0000  0.5000  0.5000  8 Hf 2.74-2.80
Rh  0.0000  0.0000  0.5000  8 Hf 2.77-2.82

Summary:
Energy relative to the elements = -0.500 eV per atom
Magnetic moment = 0.000 μB/f.u.